(1)
First-principles (PBE) data for BaY2Sb after structural relaxation, as listed in the Alexandria database.

The calculation puts the volume at 32.89 A^3/atom. The uncorrected formation energy is -0.101 eV/atom. The calculated total energy is -4.84 eV per atom.

The structure belongs to space group F-43m (No. 216); the cell edges are 8.074, 8.074 and 8.074 Å and the angles 90.00°, 90.00° and 90.00°. The asymmetric unit holds Ba at (0.000, 0.000, 0.000), Y at (0.000, 0.000, 0.500), Y at (0.250, 0.250, 0.250) and Sb at (0.250, 0.250, 0.750).

---

(2)
First-principles (PBE) data for PmTlInPt after structural relaxation, as listed in the Alexandria database.

The calculation puts the volume at 23.43 A^3/atom. As for the formation enthalpy at 0 K: -2.0 eV per formula unit. The calculated total energy is -4.47 eV per atom.

The structure belongs to space group F-43m (No. 216); the cell edges are 7.210, 7.210 and 7.210 Å and the angles 90.00°, 90.00° and 90.00°. The asymmetric unit holds Pm at (0.000, 0.000, 0.000), Tl at (0.250, 0.250, 0.750), In at (0.000, 0.000, 0.500) and Pt at (0.250, 0.250, 0.250).

---

(3)
First-principles (PBE) data for AcLaZnCo after structural relaxation, as listed in the Alexandria database.

The calculation puts the volume at 25.32 A^3/atom. As for the formation enthalpy at 0 K: -0.2 eV per formula unit. The calculated total energy is -4.39 eV per atom.

The structure belongs to space group F-43m (No. 216); the cell edges are 7.399, 7.399 and 7.399 Å and the angles 90.00°, 90.00° and 90.00°. The asymmetric unit holds Ac at (0.000, 0.000, 0.000), La at (0.000, 0.000, 0.500), Zn at (0.250, 0.250, 0.250) and Co at (0.250, 0.250, 0.750).

---

(4)
First-principles (PBE) data for Ho2CdAg6 after structural relaxation, as listed in the Alexandria database.

The calculation puts the relative energy among the computed polymorphs at 39.1 meV/atom. The calculation puts the volume at 21.48 A^3/atom. As for the formation enthalpy at 0 K: -1.3 eV per formula unit. The calculated total energy is -3.17 eV per atom.

The structure belongs to space group C2/m (No. 12); the cell edges are 10.789, 6.221 and 5.760 Å and the angles 90.00°, 90.04° and 90.00°. The asymmetric unit holds Ho at (0.167, 0.000, 0.156), Cd at (0.000, 0.500, 0.000), Ag at (0.092, 0.224, 0.672) and Ag at (0.184, 0.500, 0.328).

---

(5)
First-principles (PBE) data for MgTaTc3 after structural relaxation, as listed in the Alexandria database.

The calculation puts the relative energy among the computed polymorphs at 0.0 meV/atom. The calculation puts the volume at 21.68 A^3/atom. As for the formation enthalpy at 0 K: 7.2 eV per formula unit. The calculated total energy is -7.46 eV per atom.

The structure belongs to space group Pm-3m (No. 221); the cell edges are 4.768, 4.768 and 4.768 Å and the angles 90.00°, 90.00° and 90.00°. The asymmetric unit holds Mg at (0.000, 0.000, 0.000), Ta at (0.500, 0.500, 0.500) and Tc at (0.000, 0.500, 0.500).

---

(6)
First-principles (PBE) data for Cs2LiNbPt after structural relaxation, as listed in the Alexandria database.

The calculation puts the volume at 34.44 A^3/atom. As for the formation enthalpy at 0 K: 6.8 eV per formula unit. The calculated total energy is -2.58 eV per atom.

The structure belongs to space group P4/mmm (No. 123); the cell edges are 5.694, 5.694 and 5.312 Å and the angles 90.00°, 90.00° and 90.00°. The asymmetric unit holds Cs at (0.000, 0.500, 0.000), Li at (0.000, 0.000, 0.000), Nb at (0.000, 0.000, 0.500) and Pt at (0.500, 0.500, 0.500).

---

(7)
First-principles (PBE) data for CeZn6Ge2 after structural relaxation, as listed in the Alexandria database.

The calculation puts the volume at 17.34 A^3/atom. As for the formation enthalpy at 0 K: -1.8 eV per formula unit. The calculated total energy is -2.73 eV per atom.

The structure belongs to space group P4/mmm (No. 123); the cell edges are 4.059, 4.059 and 9.472 Å and the angles 90.00°, 90.00° and 90.00°. The asymmetric unit holds Ce at (0.000, 0.000, 0.000), Zn at (0.000, 0.000, 0.500), Zn at (0.000, 0.500, 0.308), Zn at (0.500, 0.500, 0.500) and Ge at (0.500, 0.500, 0.136).

---

(8)
First-principles (PBE) data for NdY4Er after structural relaxation, as listed in the Alexandria database.

The calculation puts the relative energy among the computed polymorphs at 0.0 meV/atom. The calculation puts the volume at 32.41 A^3/atom. As for the formation enthalpy at 0 K: 0.1 eV per formula unit. The calculated total energy is -5.84 eV per atom.

The structure belongs to space group P-1 (No. 2); the cell edges are 3.575, 6.193 and 9.473 Å and the angles 96.12°, 100.86° and 106.62°. The asymmetric unit holds Nd at (0.000, 0.000, 0.000), Y at (0.165, 0.499, 0.831), Y at (0.332, 0.998, 0.664) and Er at (0.500, 0.500, 0.500).